[1]
# Sr2LiPd3, relaxed, DFT PBE
data_Sr2LiPd3
_symmetry_space_group_name_H-M 'C 1 2/m 1'
_symmetry_Int_Tables_number 12
_cell_length_a 9.322
_cell_length_b 5.780
_cell_length_c 5.485
_cell_angle_alpha 90.00
_cell_angle_beta 121.36
_cell_angle_gamma 90.00
loop_
_symmetry_equiv_pos_as_xyz
'x,y,z'
'-x,-y,-z'
'-x,y,-z'
'x,-y,z'
'x+1/2,y+1/2,z'
'-x+1/2,-y+1/2,-z'
'-x+1/2,y+1/2,-z'
'x+1/2,-y+1/2,z'
loop_
_atom_site_label
_atom_site_type_symbol
_atom_site_fract_x
_atom_site_fract_y
_atom_site_fract_z
_atom_site_occupancy
Sr1 Sr 0.125 0.000 0.374 1
Li1 Li 0.000 0.500 0.000 1
Pd1 Pd 0.000 0.500 0.500 1
Pd2 Pd 0.250 0.250 0.000 1
# Total magnetic moment (μB per atom): 0.0000
# Formation enthalpy at 0 K (meV per atom): -554
# V (Å³ per cell): 252.4

=====

[2]
# Sr8Li2Cd, relaxed, DFT PBE
data_Sr8Li2Cd
_symmetry_space_group_name_H-M 'I m m m'
_symmetry_Int_Tables_number 71
_symmetry_space_group_name_Hall '-I 2 2'
_cell_length_a 6.011
_cell_length_b 10.263
_cell_length_c 15.967
_cell_angle_alpha 90.00
_cell_angle_beta 90.00
_cell_angle_gamma 90.00
loop_
_atom_site_label
_atom_site_type_symbol
_atom_site_fract_x
_atom_site_fract_y
_atom_site_fract_z
_atom_site_occupancy
Sr1 Sr 0.000 0.000 0.129 1
Sr2 Sr 0.000 0.222 0.344 1
Sr3 Sr 0.000 0.319 0.000 1
Li1 Li 0.000 0.500 0.199 1
Cd1 Cd 0.000 0.500 0.500 1
# Total magnetic moment (μB per atom): 0.0000
# Formation enthalpy at 0 K (meV per atom): 28
# Energy above the most stable polymorph in this dataset (meV/atom): 50
# V (Å³ per cell): 985.0

=====

[3]
# Dy3Cd, relaxed, DFT PBE
data_Dy3Cd
_symmetry_space_group_name_H-M 'P m m 2'
_symmetry_Int_Tables_number 25
_cell_length_a 3.425
_cell_length_b 3.443
_cell_length_c 10.352
_cell_angle_alpha 90.00
_cell_angle_beta 90.00
_cell_angle_gamma 90.00
loop_
_symmetry_equiv_pos_as_xyz
'x,y,z'
'-x,-y,z'
'-x,y,z'
'x,-y,z'
loop_
_atom_site_label
_atom_site_type_symbol
_atom_site_fract_x
_atom_site_fract_y
_atom_site_fract_z
_atom_site_occupancy
Dy1 Dy 0.000 0.000 0.000 1
Dy2 Dy 0.000 0.500 0.466 1
Dy3 Dy 0.500 0.500 0.759 1
Cd1 Cd 0.500 0.000 0.261 1
# Total magnetic moment (μB per atom): 0.0970
# Formation enthalpy at 0 K (meV per atom): 96
# Energy above the most stable polymorph in this dataset (meV/atom): 240
# V (Å³ per cell): 122.1

=====

[4]
# Tb2Nd15Mg2, relaxed, DFT PBE
data_Tb2Nd15Mg2
_symmetry_space_group_name_H-M 'R -3 m'
_symmetry_Int_Tables_number 166
_symmetry_space_group_name_Hall '-R 3 2"'
_cell_length_a 11.3436
_cell_length_b 11.3436
_cell_length_c 17.7754
_cell_angle_alpha 90.00
_cell_angle_beta 90.00
_cell_angle_gamma 120.00
loop_
_atom_site_label
_atom_site_type_symbol
_atom_site_fract_x
_atom_site_fract_y
_atom_site_fract_z
_atom_site_occupancy
Tb1 Tb 0.0000 0.0000 0.1863 1
Nd1 Nd 0.0000 0.2959 0.5000 1
Nd2 Nd 0.0000 0.5000 0.0000 1
Nd3 Nd 0.0187 0.5093 0.6390 1
Mg1 Mg 0.0000 0.0000 0.4073 1
# Total magnetic moment (μB per atom): 0.0000
# Formation enthalpy at 0 K (meV per atom): 220
# V (Å³ per cell): 1980.9

=====

[5]
# K2AsN2, relaxed, DFT PBE
data_K2AsN2
_symmetry_space_group_name_H-M 'P 4/m b m'
_symmetry_Int_Tables_number 127
_symmetry_space_group_name_Hall '-P 4 2ab'
_cell_length_a 8.658
_cell_length_b 8.658
_cell_length_c 2.976
_cell_angle_alpha 90.00
_cell_angle_beta 90.00
_cell_angle_gamma 90.00
loop_
_atom_site_label
_atom_site_type_symbol
_atom_site_fract_x
_atom_site_fract_y
_atom_site_fract_z
_atom_site_occupancy
K1 K 0.153 0.347 0.000 1
As1 As 0.000 0.000 0.000 1
N1 N 0.137 0.637 0.500 1
# Total magnetic moment (μB per atom): 0.8467
# Energy above the most stable polymorph in this dataset (meV/atom): 0
# E_form (uncorrected) (eV per atom): 1.498
# V (Å³ per cell): 223.1

=====

[6]
# Re2SnAs, relaxed, DFT PBE
data_Re2SnAs
_symmetry_space_group_name_H-M 'F m -3 m'
_symmetry_Int_Tables_number 225
_symmetry_space_group_name_Hall '-F 4 2 3'
_cell_length_a 6.378
_cell_length_b 6.378
_cell_length_c 6.378
_cell_angle_alpha 90.00
_cell_angle_beta 90.00
_cell_angle_gamma 90.00
loop_
_atom_site_label
_atom_site_type_symbol
_atom_site_fract_x
_atom_site_fract_y
_atom_site_fract_z
_atom_site_occupancy
Re1 Re 0.250 0.250 0.250 1
Sn1 Sn 0.000 0.000 0.000 1
As1 As 0.000 0.000 0.500 1
# Total magnetic moment (μB per atom): 0.0000
# Formation enthalpy at 0 K (meV per atom): 562
# Energy above the most stable polymorph in this dataset (meV/atom): 0
# V (Å³ per cell): 259.5

=====

[7]
# GdErPu, relaxed, DFT PBE
data_GdErPu
_symmetry_space_group_name_H-M 'P 3 m 1'
_symmetry_Int_Tables_number 156
_cell_length_a 5.6022
_cell_length_b 5.6022
_cell_length_c 3.2955
_cell_angle_alpha 90.00
_cell_angle_beta 90.00
_cell_angle_gamma 120.00
loop_
_symmetry_equiv_pos_as_xyz
'x,y,z'
'-y,x-y,z'
'-x+y,-x,z'
'-y,-x,z'
'-x+y,y,z'
'x,x-y,z'
loop_
_atom_site_label
_atom_site_type_symbol
_atom_site_fract_x
_atom_site_fract_y
_atom_site_fract_z
_atom_site_occupancy
Gd1 Gd 0.0000 0.0000 0.0000 1
Er1 Er 0.6667 0.3333 0.0065 1
Pu1 Pu 0.3333 0.6667 0.5031 1
# Total magnetic moment (μB per atom): 4.3836
# Formation enthalpy at 0 K (meV per atom): 197
# Energy above the most stable polymorph in this dataset (meV/atom): 96
# V (Å³ per cell): 89.6

=====

[8]
# Pm2Sm3Y3, relaxed, DFT PBE
data_Pm2Sm3Y3
_symmetry_space_group_name_H-M 'I m m m'
_symmetry_Int_Tables_number 71
_symmetry_space_group_name_Hall '-I 2 2'
_cell_length_a 5.112
_cell_length_b 5.114
_cell_length_c 20.397
_cell_angle_alpha 90.00
_cell_angle_beta 90.00
_cell_angle_gamma 90.00
loop_
_atom_site_label
_atom_site_type_symbol
_atom_site_fract_x
_atom_site_fract_y
_atom_site_fract_z
_atom_site_occupancy
Pm1 Pm 0.000 0.000 0.250 1
Sm1 Sm 0.000 0.000 0.000 1
Sm2 Sm 0.000 0.500 0.376 1
Y1 Y 0.000 0.000 0.500 1
Y2 Y 0.000 0.500 0.125 1
# Total magnetic moment (μB per atom): 0.0000
# Formation enthalpy at 0 K (meV per atom): 18
# Energy above the most stable polymorph in this dataset (meV/atom): 0
# V (Å³ per cell): 533.2

=====

[9]
# Dy3ThSe4, relaxed, DFT PBE
data_Dy3ThSe4
_symmetry_space_group_name_H-M 'C m m m'
_symmetry_Int_Tables_number 65
_symmetry_space_group_name_Hall '-C 2 2'
_cell_length_a 8.299
_cell_length_b 11.637
_cell_length_c 4.067
_cell_angle_alpha 90.00
_cell_angle_beta 90.00
_cell_angle_gamma 90.00
loop_
_atom_site_label
_atom_site_type_symbol
_atom_site_fract_x
_atom_site_fract_y
_atom_site_fract_z
_atom_site_occupancy
Dy1 Dy 0.000 0.000 0.000 1
Dy2 Dy 0.250 0.250 0.500 1
Th1 Th 0.000 0.500 0.000 1
Se1 Se 0.000 0.245 0.000 1
Se2 Se 0.240 0.000 0.500 1
# Total magnetic moment (μB per atom): 0.0000
# Energy above the most stable polymorph in this dataset (meV/atom): 4
# E_form (uncorrected) (eV per atom): -1.681
# V (Å³ per cell): 392.7

=====

[10]
# Rb2Pu2USe6, relaxed, DFT PBE
data_Rb2Pu2USe6
_symmetry_space_group_name_H-M 'C 1 2/m 1'
_symmetry_Int_Tables_number 12
_cell_length_a 7.339
_cell_length_b 12.661
_cell_length_c 8.507
_cell_angle_alpha 90.00
_cell_angle_beta 106.92
_cell_angle_gamma 90.00
loop_
_symmetry_equiv_pos_as_xyz
'x,y,z'
'-x,-y,-z'
'-x,y,-z'
'x,-y,z'
'x+1/2,y+1/2,z'
'-x+1/2,-y+1/2,-z'
'-x+1/2,y+1/2,-z'
'x+1/2,-y+1/2,z'
loop_
_atom_site_label
_atom_site_type_symbol
_atom_site_fract_x
_atom_site_fract_y
_atom_site_fract_z
_atom_site_occupancy
Rb1 Rb 0.000 0.169 0.000 1
Pu1 Pu 0.000 0.334 0.500 1
U1 U 0.000 0.000 0.500 1
Se1 Se 0.227 0.163 0.690 1
Se2 Se 0.241 0.500 0.690 1
# Total magnetic moment (μB per atom): 1.0909
# E_form (uncorrected) (eV per atom): -1.397
# V (Å³ per cell): 756.3

=====

[11]
# VRu2W, relaxed, DFT PBE
data_VRu2W
_symmetry_space_group_name_H-M 'P 4/m m m'
_symmetry_Int_Tables_number 123
_symmetry_space_group_name_Hall '-P 4 2'
_cell_length_a 2.880
_cell_length_b 2.880
_cell_length_c 6.924
_cell_angle_alpha 90.00
_cell_angle_beta 90.00
_cell_angle_gamma 90.00
loop_
_atom_site_label
_atom_site_type_symbol
_atom_site_fract_x
_atom_site_fract_y
_atom_site_fract_z
_atom_site_occupancy
V1 V 0.000 0.000 0.000 1
Ru1 Ru 0.500 0.500 0.222 1
W1 W 0.000 0.000 0.500 1
# Total magnetic moment (μB per atom): 0.0000
# Formation enthalpy at 0 K (meV per atom): -101
# Energy above the most stable polymorph in this dataset (meV/atom): 0
# V (Å³ per cell): 57.4

=====

[12]
# As2Pb, relaxed, DFT PBE
data_As2Pb
_symmetry_space_group_name_H-M 'P -3 m 1'
_symmetry_Int_Tables_number 164
_symmetry_space_group_name_Hall '-P 3 2"'
_cell_length_a 4.3631
_cell_length_b 4.3631
_cell_length_c 4.6366
_cell_angle_alpha 90.00
_cell_angle_beta 90.00
_cell_angle_gamma 120.00
loop_
_atom_site_label
_atom_site_type_symbol
_atom_site_fract_x
_atom_site_fract_y
_atom_site_fract_z
_atom_site_occupancy
As1 As 0.3333 0.6667 0.3938 1
Pb1 Pb 0.0000 0.0000 0.0000 1
# Total magnetic moment (μB per atom): 0.0000
# Formation enthalpy at 0 K (meV per atom): 160
# Energy above the most stable polymorph in this dataset (meV/atom): 109
# V (Å³ per cell): 76.4

=====

[13]
# MgZnSb, relaxed, DFT PBE
data_MgZnSb
_symmetry_space_group_name_H-M 'P 3 m 1'
_symmetry_Int_Tables_number 156
_cell_length_a 3.6107
_cell_length_b 3.6107
_cell_length_c 6.1426
_cell_angle_alpha 90.00
_cell_angle_beta 90.00
_cell_angle_gamma 120.00
loop_
_symmetry_equiv_pos_as_xyz
'x,y,z'
'-y,x-y,z'
'-x+y,-x,z'
'-y,-x,z'
'-x+y,y,z'
'x,x-y,z'
loop_
_atom_site_label
_atom_site_type_symbol
_atom_site_fract_x
_atom_site_fract_y
_atom_site_fract_z
_atom_site_occupancy
Mg1 Mg 0.0000 0.0000 0.0000 1
Zn1 Zn 0.3333 0.6667 0.6788 1
Sb1 Sb 0.6667 0.3333 0.3658 1
# Total magnetic moment (μB per atom): 0.0000
# E_form (uncorrected) (eV per atom): 0.028
# V (Å³ per cell): 69.4

=====

[14]
# TlInMo, relaxed, DFT PBE
data_TlInMo
_symmetry_space_group_name_H-M 'F -4 3 m'
_symmetry_Int_Tables_number 216
_symmetry_space_group_name_Hall 'F -4 2 3'
_cell_length_a 6.692
_cell_length_b 6.692
_cell_length_c 6.692
_cell_angle_alpha 90.00
_cell_angle_beta 90.00
_cell_angle_gamma 90.00
loop_
_atom_site_label
_atom_site_type_symbol
_atom_site_fract_x
_atom_site_fract_y
_atom_site_fract_z
_atom_site_occupancy
Tl1 Tl 0.000 0.000 0.000 1
In1 In 0.000 0.000 0.500 1
Mo1 Mo 0.250 0.250 0.750 1
# Total magnetic moment (μB per atom): 0.7387
# Formation enthalpy at 0 K (meV per atom): 827
# Energy above the most stable polymorph in this dataset (meV/atom): 217
# V (Å³ per cell): 299.6

=====

[15]
# LiDyZnSn, relaxed, DFT PBE
data_LiDyZnSn
_symmetry_space_group_name_H-M 'F -4 3 m'
_symmetry_Int_Tables_number 216
_symmetry_space_group_name_Hall 'F -4 2 3'
_cell_length_a 7.051
_cell_length_b 7.051
_cell_length_c 7.051
_cell_angle_alpha 90.00
_cell_angle_beta 90.00
_cell_angle_gamma 90.00
loop_
_atom_site_label
_atom_site_type_symbol
_atom_site_fract_x
_atom_site_fract_y
_atom_site_fract_z
_atom_site_occupancy
Li1 Li 0.000 0.000 0.000 1
Dy1 Dy 0.000 0.000 0.500 1
Zn1 Zn 0.250 0.250 0.750 1
Sn1 Sn 0.250 0.250 0.250 1
# Total magnetic moment (μB per atom): 0.0000
# Formation enthalpy at 0 K (meV per atom): -427
# V (Å³ per cell): 350.6

=====

[16]
# AsRu3Rh, relaxed, DFT PBE
data_AsRu3Rh
_symmetry_space_group_name_H-M 'P m -3 m'
_symmetry_Int_Tables_number 221
_symmetry_space_group_name_Hall '-P 4 2 3'
_cell_length_a 4.458
_cell_length_b 4.458
_cell_length_c 4.458
_cell_angle_alpha 90.00
_cell_angle_beta 90.00
_cell_angle_gamma 90.00
loop_
_atom_site_label
_atom_site_type_symbol
_atom_site_fract_x
_atom_site_fract_y
_atom_site_fract_z
_atom_site_occupancy
As1 As 0.000 0.000 0.000 1
Ru1 Ru 0.000 0.000 0.500 1
Rh1 Rh 0.500 0.500 0.500 1
# Total magnetic moment (μB per atom): 0.0000
# Formation enthalpy at 0 K (meV per atom): 1195
# Energy above the most stable polymorph in this dataset (meV/atom): 0
# V (Å³ per cell): 88.6

=====

[17]
# AgPbSe2, relaxed, DFT PBE
data_AgPbSe2
_symmetry_space_group_name_H-M 'C 1 m 1'
_symmetry_Int_Tables_number 8
_cell_length_a 14.324
_cell_length_b 3.754
_cell_length_c 3.909
_cell_angle_alpha 90.00
_cell_angle_beta 90.10
_cell_angle_gamma 90.00
loop_
_symmetry_equiv_pos_as_xyz
'x,y,z'
'x,-y,z'
'x+1/2,y+1/2,z'
'x+1/2,-y+1/2,z'
loop_
_atom_site_label
_atom_site_type_symbol
_atom_site_fract_x
_atom_site_fract_y
_atom_site_fract_z
_atom_site_occupancy
Ag1 Ag 0.000 0.000 0.000 1
Pb1 Pb 0.278 0.500 0.496 1
Se1 Se 0.191 0.000 0.995 1
Se2 Se 0.459 0.000 0.499 1
# Total magnetic moment (μB per atom): 0.0000
# E_form (uncorrected) (eV per atom): -0.187
# V (Å³ per cell): 210.2

=====

[18]
# CdNi4Br, relaxed, DFT PBE
data_CdNi4Br
_symmetry_space_group_name_H-M 'F -4 3 m'
_symmetry_Int_Tables_number 216
_symmetry_space_group_name_Hall 'F -4 2 3'
_cell_length_a 7.042
_cell_length_b 7.042
_cell_length_c 7.042
_cell_angle_alpha 90.00
_cell_angle_beta 90.00
_cell_angle_gamma 90.00
loop_
_atom_site_label
_atom_site_type_symbol
_atom_site_fract_x
_atom_site_fract_y
_atom_site_fract_z
_atom_site_occupancy
Cd1 Cd 0.000 0.000 0.000 1
Ni1 Ni 0.126 0.126 0.374 1
Br1 Br 0.250 0.250 0.750 1
# Total magnetic moment (μB per atom): 0.3445
# E_form (uncorrected) (eV per atom): 0.446
# V (Å³ per cell): 349.2

=====

[19]
# Mg3ZrAg4, relaxed, DFT PBE
data_Mg3ZrAg4
_symmetry_space_group_name_H-M 'P 4/m m m'
_symmetry_Int_Tables_number 123
_symmetry_space_group_name_Hall '-P 4 2'
_cell_length_a 3.315
_cell_length_b 3.315
_cell_length_c 13.812
_cell_angle_alpha 90.00
_cell_angle_beta 90.00
_cell_angle_gamma 90.00
loop_
_atom_site_label
_atom_site_type_symbol
_atom_site_fract_x
_atom_site_fract_y
_atom_site_fract_z
_atom_site_occupancy
Mg1 Mg 0.000 0.000 0.000 1
Mg2 Mg 0.000 0.000 0.244 1
Zr1 Zr 0.000 0.000 0.500 1
Ag1 Ag 0.500 0.500 0.120 1
Ag2 Ag 0.500 0.500 0.362 1
# Total magnetic moment (μB per atom): 0.0564
# Formation enthalpy at 0 K (meV per atom): -179
# V (Å³ per cell): 151.8

=====

[20]
# BaSrP2W, relaxed, DFT PBE
data_BaSrP2W
_symmetry_space_group_name_H-M 'P 4/m m m'
_symmetry_Int_Tables_number 123
_symmetry_space_group_name_Hall '-P 4 2'
_cell_length_a 5.657
_cell_length_b 5.657
_cell_length_c 5.740
_cell_angle_alpha 90.00
_cell_angle_beta 90.00
_cell_angle_gamma 90.00
loop_
_atom_site_label
_atom_site_type_symbol
_atom_site_fract_x
_atom_site_fract_y
_atom_site_fract_z
_atom_site_occupancy
Ba1 Ba 0.000 0.000 0.000 1
Sr1 Sr 0.500 0.500 0.500 1
P1 P 0.000 0.500 0.000 1
W1 W 0.000 0.000 0.500 1
# Total magnetic moment (μB per atom): 0.9548
# Formation enthalpy at 0 K (meV per atom): 1589
# V (Å³ per cell): 183.7